No. 1
14
Lattice="-3.7477 3.7477 3.7477 3.7477 -3.7477 3.7477 3.7477 3.7477 -3.7477" Properties=species:S:1:pos:R:3 comment="NaSr4B3N6, PBEsol geometry, DFT meta-GGA SCAN" total_magnetization_mub_per_cell=0.00 space_group="Im-3m (229)" pbc="T T T"
Na 0.0000 0.0000 0.0000
Sr 1.8738 1.8738 -1.8738
Sr 1.8738 -1.8738 1.8738
Sr -1.8738 1.8738 1.8738
Sr 1.8738 1.8738 1.8738
B 3.7477 0.0000 0.0000
B 0.0000 3.7477 0.0000
B 0.0000 0.0000 3.7477
N 2.4019 0.0000 0.0000
N 5.0935 0.0000 0.0000
N 0.0000 2.4019 0.0000
N 0.0000 0.0000 2.4019
N 0.0000 5.0935 0.0000
N 0.0000 0.0000 5.0935

No. 2
5
Lattice="4.1271 0.0000 0.0000 0.0000 4.1271 0.0000 0.0000 0.0000 4.1271" Properties=species:S:1:pos:R:3 comment="Nb3BN, PBEsol geometry, DFT meta-GGA SCAN" total_magnetization_mub_per_cell=0.00 space_group="Pm-3m (221)" pbc="T T T"
Nb 0.0000 0.0000 2.0635
Nb 0.0000 2.0635 0.0000
Nb 2.0635 0.0000 0.0000
B 2.0635 2.0635 2.0635
N 0.0000 0.0000 0.0000

No. 3
12
Lattice="2.7726 0.0000 0.0000 -1.3863 2.4011 0.0000 0.0000 0.0000 16.9727" Properties=species:S:1:pos:R:3 comment="NbBN2, PBEsol geometry, DFT meta-GGA SCAN" total_magnetization_mub_per_cell=0.02 space_group="R-3m (166)" pbc="T T T"
Nb 0.0000 0.0000 0.0000
Nb 0.0000 1.6008 11.3151
Nb 1.3863 0.8004 5.6576
B 0.0000 0.0000 8.4863
B 0.0000 1.6008 2.8288
B 1.3863 0.8004 14.1439
N 0.0000 0.0000 2.0066
N 0.0000 0.0000 14.9660
N 0.0000 1.6008 9.3085
N 0.0000 1.6008 13.3218
N 1.3863 0.8004 3.6509
N 1.3863 0.8004 7.6642

| no. | mass density (g cm⁻³) | raw formation energy (eV per atom) |
| --- | --- | --- |
| 1 | 3.86 | -1.2991 |
| 2 | 7.17 | 0.0903 |
| 3 | 5.81 | 0.7439 |